# 1
Below is an optimized crystal structure of MnCoIr, with properties calculated at the PBE-GGA level.

For the energy above the most stable polymorph in this dataset, the calculation gives 22.6 kJ/mol of atoms. Its size of the total moment is 4.91 Bohr magnetons per cell.

a = 6.6470 Å, b = 6.4209 Å, c = 2.6384 Å
α = 83.21°, β = 73.58°, γ = 23.21°
Each line ends with the local moment (μB).
Fractional coordinates of all 3 atoms:
Mn (0.6611, 0.6611, 0.3389)  2.87
Ir (0.3319, 0.3319, 0.6681)  0.28
Co (0.0070, 0.0070, 0.9930)  1.69


# 2
Below is an optimized crystal structure of ScCd2Sb, with properties calculated at the PBE-GGA level.

The value obtained for the uncorrected formation energy is -0.02 eV per atom. Its size of the total moment is 0.00 Bohr magnetons per cell.

a = 10.0443 Å, b = 10.0443 Å, c = 10.0443 Å
α = 19.49°, β = 19.49°, γ = 19.49°
Fractional coordinates of all 4 atoms:
Sc (0.7500, 0.7500, 0.7500)
Cd (0.0027, 0.0027, 0.0027)
Cd (0.4973, 0.4973, 0.4973)
Sb (0.2500, 0.2500, 0.2500)


# 3
Below is an optimized crystal structure of NaSr2AgBr6, with properties calculated at the PBE-GGA level.

The value obtained for the uncorrected formation energy is -1.63 eV per atom. Its size of the total moment is 0.00 Bohr magnetons per cell.

a = 7.5822 Å, b = 7.5777 Å, c = 8.1413 Å
α = 62.21°, β = 62.13°, γ = 59.93°
Fractional coordinates of all 10 atoms:
Sr (0.5153, 0.5154, 0.4541)
Sr (0.0151, 0.0156, 0.9544)
Br (0.1035, 0.4303, 0.7543)
Br (0.5966, 0.2151, 0.2519)
Br (0.2154, 0.9367, 0.2510)
Br (0.7108, 0.1041, 0.7555)
Br (0.4300, 0.7114, 0.7546)
Br (0.9373, 0.5962, 0.2509)
Na (0.8181, 0.8183, 0.5453)
Ag (0.3194, 0.3185, 0.0431)


# 4
Below is an optimized crystal structure of MnTl2Br, with properties calculated at the PBE-GGA level.

For the energy above the most stable polymorph in this dataset, the calculation gives 29.5 kJ/mol of atoms. The value obtained for the uncorrected formation energy is 0.29 eV per atom. Its size of the total moment is 4.15 Bohr magnetons per cell.

a = 5.4484 Å, b = 5.4484 Å, c = 5.4484 Å
α = 60.00°, β = 60.00°, γ = 60.00°
Each line ends with the local moment (μB).
Fractional coordinates of all 4 atoms:
Br (0.5000, 0.5000, 0.5000)  0.00
Tl (0.2500, 0.2500, 0.2500)  -0.05
Tl (0.7500, 0.7500, 0.7500)  -0.05
Mn (0.0000, 0.0000, 0.0000)  4.14


In order of appearance, DOS at the Fermi energy = 4.908, 3.994, 0.000, 3.900 states/eV per cell.